Entry A
DFT (PBE-GGA) results for a relaxed structure of ZnTcAu3.

extended XYZ file:
```
5
Lattice="4.759 0.000 0.000 0.000 4.759 0.000 0.000 0.000 4.759" Properties=species:S:1:pos:R:3 pbc="T T T"
Zn 0.000 0.000 0.000
Tc 2.379 2.379 2.379
Au 0.000 0.000 2.379
Au 0.000 2.379 0.000
Au 2.379 0.000 0.000
```

Summary:
N(E_F): 2.96 states/eV per cell

***

Entry B
DFT (PBE-GGA) results for a relaxed structure of ZnTcAu3.

extended XYZ file:
```
5
Lattice="5.090 0.000 0.000 0.000 5.090 0.000 0.000 0.000 5.090" Properties=species:S:1:pos:R:3 pbc="T T T"
Zn 0.000 0.000 0.000
Tc 2.545 2.545 2.545
Au 0.000 2.545 2.545
Au 2.545 0.000 2.545
Au 2.545 2.545 0.000
```

Summary:
N(E_F): 4.29 states/eV per cell

***

The most stable of them is entry A.

***

Entry A
DFT (PBE-GGA) results for a relaxed structure of ZrTc2Au.

extended XYZ file:
```
4
Lattice="1.656 -2.262 0.000 1.656 2.262 0.000 0.000 0.000 9.083" Properties=species:S:1:pos:R:3 pbc="T T T"
Zr 0.000 0.000 0.000
Tc 1.656 0.000 2.257
Tc 1.656 0.000 6.826
Au 0.000 0.000 4.541
```

Summary:
N(E_F): 4.18 states/eV per cell

***

Entry B
DFT (PBE-GGA) results for a relaxed structure of ZrTc2Au.

extended XYZ file:
```
4
Lattice="3.388 0.000 0.000 0.000 3.388 0.000 0.000 0.000 5.945" Properties=species:S:1:pos:R:3 pbc="T T T"
Zr 0.000 0.000 0.000
Tc 1.694 1.694 1.499
Tc 1.694 1.694 4.446
Au 0.000 0.000 2.973
```

Summary:
N(E_F): 5.45 states/eV per cell

***

The most stable of them is entry B.

***

Entry A
DFT (PBE-GGA) results for a relaxed structure of ZrTc2Au.

extended XYZ file:
```
4
Lattice="1.429 0.825 9.668 -1.429 0.825 9.668 0.000 -1.650 9.668" Properties=species:S:1:pos:R:3 pbc="T T T"
Zr 0.000 0.000 0.000
Tc 0.000 0.000 14.291
Tc 0.000 0.000 21.935
Au 0.000 0.000 7.091
```

Summary:
N(E_F): 1.84 states/eV per cell

***

Entry B
DFT (PBE-GGA) results for a relaxed structure of ZrTc2Au.

extended XYZ file:
```
4
Lattice="-2.012 2.012 4.210 2.012 -2.012 4.210 2.012 2.012 -4.210" Properties=species:S:1:pos:R:3 pbc="T T T"
Zr 0.000 0.000 0.000
Tc 2.012 0.000 2.105
Tc 0.000 2.012 2.105
Au 0.000 0.000 4.210
```

Summary:
N(E_F): 6.02 states/eV per cell

***

Entry C
DFT (PBE-GGA) results for a relaxed structure of ZrTc2Au.

extended XYZ file:
```
4
Lattice="2.955 0.000 0.000 0.000 4.776 0.000 -0.264 0.000 4.942" Properties=species:S:1:pos:R:3 pbc="T T T"
Zr 0.000 0.000 0.000
Tc 0.747 2.388 3.800
Tc 1.944 2.388 1.143
Au 1.345 0.000 2.471
```

Summary:
N(E_F): 3.98 states/eV per cell

***

Entry D
DFT (PBE-GGA) results for a relaxed structure of ZrTc2Au.

extended XYZ file:
```
4
Lattice="3.040 0.000 0.000 0.000 3.819 0.000 0.000 0.000 5.905" Properties=species:S:1:pos:R:3 pbc="T T T"
Zr 0.000 0.000 0.000
Tc 0.000 0.000 3.198
Tc 1.520 1.910 4.329
Au 1.520 1.910 1.565
```

Summary:
N(E_F): 4.62 states/eV per cell

***

The most stable of them is entry D.

***

Entry A
DFT (PBE-GGA) results for a relaxed structure of ZrTc2Au.

extended XYZ file:
```
4
Lattice="4.672 -1.589 0.000 4.672 1.589 0.000 -1.106 0.000 4.667" Properties=species:S:1:pos:R:3 pbc="T T T"
Zr 0.000 0.000 0.000
Tc 1.489 0.000 3.350
Tc 6.748 0.000 1.317
Au 4.119 0.000 2.334
```

Summary:
N(E_F): 5.24 states/eV per cell

***

Entry B
DFT (PBE-GGA) results for a relaxed structure of ZrTc2Au.

extended XYZ file:
```
4
Lattice="4.016 0.000 0.000 0.000 4.016 0.000 0.000 0.000 4.155" Properties=species:S:1:pos:R:3 pbc="T T T"
Zr 0.000 0.000 0.000
Tc 0.000 2.008 2.078
Tc 2.008 0.000 2.078
Au 2.008 2.008 0.000
```

Summary:
N(E_F): 3.39 states/eV per cell

***

The most stable of them is entry B.

***

Entry A
DFT (PBE-GGA) results for a relaxed structure of ZrTc2Au.

extended XYZ file:
```
4
Lattice="1.426 0.823 9.751 -1.426 0.823 9.751 0.000 -1.647 9.751" Properties=species:S:1:pos:R:3 pbc="T T T"
Zr 0.000 0.000 0.000
Tc 0.000 0.000 7.228
Tc 0.000 0.000 22.025
Au 0.000 0.000 14.627
```

Summary:
N(E_F): 6.77 states/eV per cell

***

Entry B
DFT (PBE-GGA) results for a relaxed structure of ZrTc2Au.

extended XYZ file:
```
4
Lattice="0.000 3.248 3.248 3.248 0.000 3.248 3.248 3.248 0.000" Properties=species:S:1:pos:R:3 pbc="T T T"
Zr 0.000 0.000 0.000
Tc 3.248 3.248 3.248
Tc 4.872 4.872 4.872
Au 1.624 1.624 1.624
```

Summary:
N(E_F): 3.02 states/eV per cell

***

The most stable of them is entry B.

***

Entry A
DFT (PBE-GGA) results for a relaxed structure of ZrTcAu2.

extended XYZ file:
```
4
Lattice="1.798 -2.275 0.000 1.798 2.275 0.000 0.000 0.000 8.845" Properties=species:S:1:pos:R:3 pbc="T T T"
Zr 0.000 0.000 0.000
Tc 1.798 0.000 2.079
Au 0.000 0.000 4.230
Au 1.798 0.000 6.547
```

Summary:
N(E_F): 3.00 states/eV per cell

***

Entry B
DFT (PBE-GGA) results for a relaxed structure of ZrTcAu2.

extended XYZ file:
```
4
Lattice="0.000 3.304 3.304 3.304 0.000 3.304 3.304 3.304 0.000" Properties=species:S:1:pos:R:3 pbc="T T T"
Zr 0.000 0.000 0.000
Tc 1.652 1.652 1.652
Au 3.304 3.304 3.304
Au 4.956 4.956 4.956
```

Summary:
N(E_F): 4.12 states/eV per cell

***

Entry C
DFT (PBE-GGA) results for a relaxed structure of ZrTcAu2.

extended XYZ file:
```
4
Lattice="1.474 0.851 9.625 -1.474 0.851 9.625 0.000 -1.702 9.625" Properties=species:S:1:pos:R:3 pbc="T T T"
Zr 0.000 0.000 0.000
Tc 0.000 0.000 7.159
Au 0.000 0.000 14.528
Au 0.000 0.000 21.705
```

Summary:
N(E_F): 4.59 states/eV per cell

***

The most stable of them is entry A.

***

Entry A
DFT (PBE-GGA) results for a relaxed structure of ZrTcAu2.

extended XYZ file:
```
4
Lattice="3.468 0.000 0.000 0.000 3.468 0.000 0.000 0.000 6.007" Properties=species:S:1:pos:R:3 pbc="T T T"
Zr 0.000 0.000 0.000
Tc 1.734 1.734 4.581
Au 0.000 0.000 3.094
Au 1.734 1.734 1.612
```

Summary:
N(E_F): 3.59 states/eV per cell

***

Entry B
DFT (PBE-GGA) results for a relaxed structure of ZrTcAu2.

extended XYZ file:
```
4
Lattice="-2.012 2.012 4.360 2.012 -2.012 4.360 2.012 2.012 -4.360" Properties=species:S:1:pos:R:3 pbc="T T T"
Zr 0.000 0.000 0.000
Tc 0.000 0.000 4.360
Au 2.012 0.000 2.180
Au 0.000 2.012 2.180
```

Summary:
N(E_F): 4.08 states/eV per cell

***

Entry C
DFT (PBE-GGA) results for a relaxed structure of ZrTcAu2.

extended XYZ file:
```
8
Lattice="-1.941 1.941 10.130 1.941 -1.941 10.130 1.941 1.941 -10.130" Properties=species:S:1:pos:R:3 pbc="T T T"
Zr 0.000 0.000 0.000
Zr 0.000 1.941 5.065
Tc 1.941 0.000 5.065
Tc 0.000 0.000 10.130
Au 0.971 -0.941 7.597
Au 1.001 0.971 2.532
Au 0.971 2.882 -2.532
Au 0.941 0.971 12.662
```

Summary:
N(E_F): 9.28 states/eV per cell

***

Entry D
DFT (PBE-GGA) results for a relaxed structure of ZrTcAu2.

extended XYZ file:
```
4
Lattice="2.832 -4.160 0.000 2.832 4.160 0.000 0.000 0.000 3.012" Properties=species:S:1:pos:R:3 pbc="T T T"
Zr 0.000 0.000 0.000
Tc 2.832 0.000 0.000
Au 1.416 2.080 1.506
Au 1.416 -2.080 1.506
```

Summary:
N(E_F): 3.78 states/eV per cell

***

The most stable of them is entry B.

***

Entry A
DFT (PBE-GGA) results for a relaxed structure of ZrTcAu.

extended XYZ file:
```
3
Lattice="0.000 3.170 3.170 3.170 0.000 3.170 3.170 3.170 0.000" Properties=species:S:1:pos:R:3 pbc="T T T"
Zr 0.000 0.000 0.000
Tc 1.585 1.585 1.585
Au 3.170 3.170 3.170
```

Summary:
N(E_F): 4.08 states/eV per cell

***

Entry B
DFT (PBE-GGA) results for a relaxed structure of ZrTcAu.

extended XYZ file:
```
3
Lattice="-1.713 1.713 4.665 1.713 -1.713 4.665 1.713 1.713 -4.665" Properties=species:S:1:pos:R:3 pbc="T T T"
Zr 0.000 0.000 0.000
Tc 0.000 0.000 6.034
Au 0.000 0.000 2.973
```

Summary:
N(E_F): 3.89 states/eV per cell

***

Entry C
DFT (PBE-GGA) results for a relaxed structure of ZrTcAu.

extended XYZ file:
```
3
Lattice="4.757 0.000 0.000 -2.379 4.120 0.000 0.000 0.000 2.729" Properties=species:S:1:pos:R:3 pbc="T T T"
Zr 0.000 0.000 0.000
Tc 2.379 1.373 1.945
Au 0.000 2.747 0.881
```

Summary:
N(E_F): 2.96 states/eV per cell

***

Entry D
DFT (PBE-GGA) results for a relaxed structure of ZrTcAu.

extended XYZ file:
```
3
Lattice="0.000 2.319 6.560 1.783 0.000 6.560 1.783 2.319 0.000" Properties=species:S:1:pos:R:3 pbc="T T T"
Zr 0.000 0.000 0.000
Tc 1.783 2.319 4.519
Au 1.783 2.319 8.878
```

Summary:
N(E_F): 2.62 states/eV per cell

***

The most stable of them is entry B.

***

Entry A
DFT (PBE-GGA) results for a relaxed structure of Te4Au.

extended XYZ file:
```
5
Lattice="5.431 0.000 0.000 0.000 5.431 0.000 0.000 0.000 5.431" Properties=species:S:1:pos:R:3 pbc="T T T"
Te 0.000 0.000 0.000
Te 0.000 2.715 2.715
Te 2.715 0.000 2.715
Te 2.715 2.715 0.000
Au 2.715 2.715 2.715
```

Summary:
N(E_F): 6.30 states/eV per cell

***

Entry B
DFT (PBE-GGA) results for a relaxed structure of Te4Au.

extended XYZ file:
```
10
Lattice="7.564 0.000 0.000 0.000 5.532 0.000 -0.539 0.000 7.708" Properties=species:S:1:pos:R:3 pbc="T T T"
Te 1.464 1.253 1.818
Te 1.195 1.513 5.672
Te 1.854 3.696 4.037
Te 2.124 4.601 0.183
Te 4.901 0.930 7.524
Te 5.171 1.836 3.670
Te 5.830 4.018 2.035
Te 5.560 4.279 5.889
Au -0.270 0.000 3.854
Au 0.000 2.766 0.000
```

Summary:
N(E_F): 5.58 states/eV per cell

***

The most stable of them is entry B.

***

Entry A
DFT (PBE-GGA) results for a relaxed structure of Te4Au.

extended XYZ file:
```
5
Lattice="-2.071 2.071 9.544 2.071 -2.071 9.544 2.071 2.071 -9.544" Properties=species:S:1:pos:R:3 pbc="T T T"
Te 0.000 0.000 1.350
Te 2.071 0.000 4.772
Te 0.000 2.071 4.772
Te 0.000 0.000 17.737
Au 0.000 0.000 9.544
```

Summary:
N(E_F): 3.31 states/eV per cell

***

Entry B
DFT (PBE-GGA) results for a relaxed structure of Te4Au.

extended XYZ file:
```
10
Lattice="4.540 -6.166 0.000 4.540 6.166 0.000 -2.304 0.000 6.477" Properties=species:S:1:pos:R:3 pbc="T T T"
Te 0.787 2.548 4.555
Te 1.631 1.002 0.885
Te 0.479 -1.002 4.124
Te 1.939 -2.548 1.316
Te 4.837 2.548 5.161
Te 6.297 1.002 2.353
Te 5.145 -1.002 5.592
Te 5.989 -2.548 1.922
Au 3.964 5.014 1.619
Au 2.812 -5.014 4.858
```

Summary:
N(E_F): 3.92 states/eV per cell

***

The most stable of them is entry B.